[1]
# TcSbSe2

Crystalline TcSbSe2 at its relaxed geometry (PBE, Alexandria).

Calculated values
E_form (uncorrected): 367 meV/atom

Structure (CIF):
```
data_TcSbSe2
_space_group_name_H-M_alt 'C m m m'
_space_group_IT_number 65
_space_group_name_Hall '-C 2 2'
_cell_length_a 3.177
_cell_length_b 5.628
_cell_length_c 9.546
_cell_angle_alpha 90.00
_cell_angle_beta 90.00
_cell_angle_gamma 90.00
loop_
_atom_site_label
_atom_site_fract_x
_atom_site_fract_y
_atom_site_fract_z
Tc1 0.000 0.000 0.000
Sb1 0.000 0.000 0.500
Se1 0.000 0.500 0.201
```

***

[2]
# Dy8CuPt2

Crystalline Dy8CuPt2 at its relaxed geometry (PBE, Alexandria).

Calculated values
Formation enthalpy at 0 K: -0.41 eV per atom

Structure (CIF):
```
data_Dy8CuPt2
_space_group_name_H-M_alt 'C 1 m 1'
_space_group_IT_number 8
_space_group_name_Hall 'C -2y'
_cell_length_a 8.441
_cell_length_b 12.721
_cell_length_c 5.929
_cell_angle_alpha 90.00
_cell_angle_beta 107.74
_cell_angle_gamma 90.00
loop_
_atom_site_label
_atom_site_fract_x
_atom_site_fract_y
_atom_site_fract_z
Dy1 0.000 0.000 0.000
Dy2 0.069 0.371 0.781
Dy3 0.154 0.130 0.569
Dy4 0.226 0.500 0.369
Dy5 0.358 0.222 0.184
Cu1 0.364 0.000 0.352
Pt1 0.363 0.312 0.683
```

***

[3]
# LiAcPmS3

Crystalline LiAcPmS3 at its relaxed geometry (PBE, Alexandria).

Calculated values
E_form (uncorrected): -1870 meV/atom

Structure (CIF):
```
data_LiAcPmS3
_space_group_name_H-M_alt 'P 1 21/m 1'
_space_group_IT_number 11
_space_group_name_Hall '-P 2yb'
_cell_length_a 8.479
_cell_length_b 4.021
_cell_length_c 8.735
_cell_angle_alpha 90.00
_cell_angle_beta 103.05
_cell_angle_gamma 90.00
loop_
_atom_site_label
_atom_site_fract_x
_atom_site_fract_y
_atom_site_fract_z
Li1 0.088 0.250 0.088
Ac1 0.184 0.250 0.724
Pm1 0.339 0.750 0.338
S1 0.102 0.250 0.365
S2 0.202 0.750 0.004
S3 0.430 0.750 0.675
```

***

[4]
# Rb2Cl2F5

Crystalline Rb2Cl2F5 at its relaxed geometry (PBE, Alexandria).

Calculated values
E_form (uncorrected): -1548 meV/atom

Structure (CIF):
```
data_Rb2Cl2F5
_space_group_name_H-M_alt 'C 1 2/m 1'
_space_group_IT_number 12
_space_group_name_Hall '-C 2y'
_cell_length_a 15.449
_cell_length_b 4.045
_cell_length_c 6.750
_cell_angle_alpha 90.00
_cell_angle_beta 111.86
_cell_angle_gamma 90.00
loop_
_atom_site_label
_atom_site_fract_x
_atom_site_fract_y
_atom_site_fract_z
Rb1 0.095 0.000 0.331
Cl1 0.152 0.500 0.823
F1 0.000 0.500 0.500
F2 0.093 0.500 0.014
F3 0.210 0.500 0.627
```

***

[5]
# LiTbYMo

Crystalline LiTbYMo at its relaxed geometry (PBE, Alexandria).

Calculated values
Formation enthalpy at 0 K: 0.28 eV per atom

Structure (CIF):
```
data_LiTbYMo
_space_group_name_H-M_alt 'F -4 3 m'
_space_group_IT_number 216
_space_group_name_Hall 'F -4 2 3'
_cell_length_a 7.098
_cell_length_b 7.098
_cell_length_c 7.098
_cell_angle_alpha 90.00
_cell_angle_beta 90.00
_cell_angle_gamma 90.00
loop_
_atom_site_label
_atom_site_fract_x
_atom_site_fract_y
_atom_site_fract_z
Li1 0.000 0.000 0.000
Tb1 0.250 0.250 0.250
Y1 0.250 0.250 0.750
Mo1 0.000 0.000 0.500
```

***

[6]
# AcHgAuI

Crystalline AcHgAuI at its relaxed geometry (PBE, Alexandria).

Calculated values
E_form (uncorrected): -632 meV/atom

Structure (CIF):
```
data_AcHgAuI
_space_group_name_H-M_alt 'F -4 3 m'
_space_group_IT_number 216
_space_group_name_Hall 'F -4 2 3'
_cell_length_a 7.809
_cell_length_b 7.809
_cell_length_c 7.809
_cell_angle_alpha 90.00
_cell_angle_beta 90.00
_cell_angle_gamma 90.00
loop_
_atom_site_label
_atom_site_fract_x
_atom_site_fract_y
_atom_site_fract_z
Ac1 0.000 0.000 0.000
Hg1 0.000 0.000 0.500
Au1 0.250 0.250 0.750
I1 0.250 0.250 0.250
```

***

[7]
# Zr4Bi2S

Crystalline Zr4Bi2S at its relaxed geometry (PBE, Alexandria).

Calculated values
E_form (uncorrected): -379 meV/atom

Structure (CIF):
```
data_Zr4Bi2S
_space_group_name_H-M_alt 'I 4/m m m'
_space_group_IT_number 139
_space_group_name_Hall '-I 4 2'
_cell_length_a 4.739
_cell_length_b 4.739
_cell_length_c 15.505
_cell_angle_alpha 90.00
_cell_angle_beta 90.00
_cell_angle_gamma 90.00
loop_
_atom_site_label
_atom_site_fract_x
_atom_site_fract_y
_atom_site_fract_z
Zr1 0.000 0.000 0.163
Zr2 0.000 0.500 0.000
Bi1 0.000 0.000 0.356
S1 0.000 0.000 0.000
```

***

[8]
# Pu5MnGe5

Crystalline Pu5MnGe5 at its relaxed geometry (PBE, Alexandria).

Calculated values
Formation enthalpy at 0 K: -0.21 eV per atom

Structure (CIF):
```
data_Pu5MnGe5
_space_group_name_H-M_alt 'C 1 2/m 1'
_space_group_IT_number 12
_space_group_name_Hall '-C 2y'
_cell_length_a 17.136
_cell_length_b 5.280
_cell_length_c 5.619
_cell_angle_alpha 90.00
_cell_angle_beta 109.02
_cell_angle_gamma 90.00
loop_
_atom_site_label
_atom_site_fract_x
_atom_site_fract_y
_atom_site_fract_z
Pu1 0.000 0.000 0.000
Pu2 0.158 0.500 0.409
Pu3 0.158 0.500 0.907
Mn1 0.000 0.000 0.500
Ge1 0.000 0.500 0.500
Ge2 0.159 0.000 0.660
Ge3 0.182 0.000 0.182
```

***

Listing calculated volume for the structures above in their given order: 21.33; 27.56; 24.18; 21.75; 22.35; 29.77; 24.88; 21.85 Å³ per atom.
Listing M_tot for the structures above in their given order: 0.01; 0.00; 0.00; 0.96; 0.64; 0.00; 0.00; 23.42 μB per formula unit.